Density functional theory data (PBE-GGA) for crystalline CsMgC2 at its relaxed geometry.

Calculated values
The magnetization comes out at 0.0 μB/f.u. The value obtained for the uncorrected energy is -3.338 eV per atom. The mass density is 3.632 g/cm³. As for the space group: I4_1/amd (141).

Lattice parameters (Å, degrees): 4.703 4.703 8.196 73.33 73.33 90.00
Sites, in units of the cell vectors:
Cs1 0.000 0.000 0.000
Cs2 0.750 0.250 0.500
Mg1 0.500 0.500 0.000
Mg2 0.250 0.750 0.500
C1 0.375 0.125 0.250
C2 0.375 0.625 0.250
C3 0.375 0.625 0.750
C4 0.875 0.625 0.750

***

Density functional theory data (PBE-GGA) for crystalline CsMg2C2 at its relaxed geometry.

Calculated values
The polymorph energy (0 for the lowest one) comes out at 0.0 kJ/mol of atoms. The magnetization comes out at 0.0 μB/f.u. The mass density is 2.742 g/cm³. As for the space group: P4/mbm (127).

Lattice parameters (Å, degrees): 7.238 7.238 4.752 90.00 90.00 90.00
Sites, in units of the cell vectors:
Cs1 0.000 0.000 0.000
Cs2 0.500 0.500 0.000
Mg1 0.142 0.642 0.500
Mg2 0.642 0.858 0.500
Mg3 0.858 0.358 0.500
Mg4 0.358 0.142 0.500
C1 0.437 0.937 0.000
C2 0.937 0.563 0.000
C3 0.563 0.063 0.000
C4 0.063 0.437 0.000

***

Density functional theory data (PBE-GGA) for crystalline CsMg2C2 at its relaxed geometry.

Calculated values
The polymorph energy (0 for the lowest one) comes out at 18.6 kJ/mol of atoms. The magnetization comes out at 0.0 μB/f.u. The mass density is 2.811 g/cm³. As for the space group: I4/mmm (139).

Lattice parameters (Å, degrees): 4.368 4.368 7.072 72.01 72.01 90.00
Sites, in units of the cell vectors:
Cs1 0.000 0.000 0.000
Mg1 0.271 0.271 0.458
Mg2 0.729 0.729 0.542
C1 0.750 0.250 0.500
C2 0.250 0.750 0.500

***

Density functional theory data (PBE-GGA) for crystalline CsMgC3 at its relaxed geometry.

Calculated values
The polymorph energy (0 for the lowest one) comes out at 0.0 kJ/mol of atoms. The magnetization comes out at 0.0 μB/f.u. The mass density is 3.489 g/cm³. As for the space group: Pm-3m (221).

Lattice parameters (Å, degrees): 4.514 4.514 4.514 90.00 90.00 90.00
Sites, in units of the cell vectors:
Cs1 0.500 0.500 0.500
Mg1 0.000 0.000 0.000
C1 0.000 0.500 0.000
C2 0.000 0.000 0.500
C3 0.500 0.000 0.000

***

Density functional theory data (PBE-GGA) for crystalline CsMg6C at its relaxed geometry.

Calculated values
The polymorph energy (0 for the lowest one) comes out at 3.5 kJ/mol of atoms. The magnetization comes out at 0.2 μB/f.u. The mass density is 2.337 g/cm³. As for the space group: Amm2 (38).

Lattice parameters (Å, degrees): 8.441 8.441 3.380 90.00 90.00 120.95
Last column: magnetic moment on the atom in μB.
Sites, in units of the cell vectors:
Cs1 0.162 0.838 0.000  0.00
Mg1 0.545 0.795 0.000  0.00
Mg2 0.205 0.455 0.000  0.00
Mg3 0.709 0.291 0.000  0.00
Mg4 0.701 0.633 0.500  0.00
Mg5 0.367 0.299 0.500  0.00
Mg6 0.905 0.095 0.500  0.00
C1 0.406 0.594 0.500  0.08

***

Density functional theory data (PBE-GGA) for crystalline CsMg2C2 at its relaxed geometry.

Calculated values
The polymorph energy (0 for the lowest one) comes out at 4.0 kJ/mol of atoms. The magnetization comes out at 0.0 μB/f.u. The mass density is 3.989 g/cm³. As for the space group: I4/mmm (139).

Lattice parameters (Å, degrees): 4.566 4.566 5.222 64.07 64.07 90.00
Sites, in units of the cell vectors:
Cs1 0.000 0.000 0.000
Mg1 0.750 0.250 0.500
Mg2 0.250 0.750 0.500
C1 0.415 0.415 0.170
C2 0.585 0.585 0.830

***

Density functional theory data (PBE-GGA) for crystalline Cs3MgC at its relaxed geometry.

Calculated values
The magnetization comes out at 2.0 μB/f.u. The value obtained for the uncorrected energy is -1.266 eV per atom. The mass density is 1.706 g/cm³. As for the space group: Pm-3m (221).

Lattice parameters (Å, degrees): 7.509 7.509 7.509 90.00 90.00 90.00
Last column: magnetic moment on the atom in μB.
Sites, in units of the cell vectors:
Cs1 0.000 0.500 0.000  -0.01
Cs2 0.000 0.000 0.500  -0.01
Cs3 0.500 0.000 0.000  -0.01
Mg1 0.000 0.000 0.000  -0.03
C1 0.500 0.500 0.500  1.11

***

Density functional theory data (PBE-GGA) for crystalline CsMg6C at its relaxed geometry.

Calculated values
The polymorph energy (0 for the lowest one) comes out at 0.0 kJ/mol of atoms. The magnetization comes out at 0.2 μB/f.u. The mass density is 2.110 g/cm³. As for the space group: C2 (5).

Lattice parameters (Å, degrees): 12.467 12.467 3.394 86.01 86.01 152.97
Last column: magnetic moment on the atom in μB.
Sites, in units of the cell vectors:
Cs1 0.218 0.782 0.000  0.00
Mg1 0.722 0.802 0.875  0.00
Mg2 0.198 0.278 0.125  0.00
Mg3 0.807 0.686 0.378  0.00
Mg4 0.314 0.193 0.622  0.00
Mg5 0.366 0.634 0.500  0.00
Mg6 0.844 0.156 0.500  0.00
C1 0.534 0.466 0.000  0.10

***

Density functional theory data (PBE-GGA) for crystalline CsMgC3 at its relaxed geometry.

Calculated values
The polymorph energy (0 for the lowest one) comes out at 97.8 kJ/mol of atoms. The magnetization comes out at 1.1 μB/f.u. The mass density is 3.362 g/cm³. As for the space group: Pm-3m (221).

Lattice parameters (Å, degrees): 4.570 4.570 4.570 90.00 90.00 90.00
Last column: magnetic moment on the atom in μB.
Sites, in units of the cell vectors:
Cs1 0.000 0.000 0.000  0.01
Mg1 0.500 0.500 0.500  -0.01
C1 0.000 0.500 0.000  0.21
C2 0.000 0.000 0.500  0.23
C3 0.500 0.000 0.000  0.15

***

Density functional theory data (PBE-GGA) for crystalline CsMg2C2 at its relaxed geometry.

Calculated values
The polymorph energy (0 for the lowest one) comes out at 6.6 kJ/mol of atoms. The magnetization comes out at 0.0 μB/f.u. The mass density is 1.928 g/cm³. As for the space group: P4/mbm (127).

Lattice parameters (Å, degrees): 10.105 10.105 3.467 90.00 90.00 90.00
Sites, in units of the cell vectors:
Cs1 0.000 0.000 0.000
Cs2 0.500 0.500 0.000
Mg1 0.384 0.884 0.000
Mg2 0.884 0.616 0.000
Mg3 0.616 0.116 0.000
Mg4 0.116 0.384 0.000
C1 0.044 0.544 0.500
C2 0.544 0.956 0.500
C3 0.956 0.456 0.500
C4 0.456 0.044 0.500

***

Density functional theory data (PBE-GGA) for crystalline CsMgNb2C at its relaxed geometry.

Calculated values
The magnetization comes out at 2.1 μB/f.u. The value obtained for the uncorrected energy is -5.300 eV per atom. The mass density is 5.099 g/cm³. As for the space group: P4/mmm (123).

Lattice parameters (Å, degrees): 4.398 4.398 5.978 90.00 90.00 90.00
Last column: magnetic moment on the atom in μB.
Sites, in units of the cell vectors:
Cs1 0.000 0.000 0.500  0.07
C1 0.000 0.000 0.000  -0.04
Nb1 0.000 0.500 0.000  0.72
Nb2 0.500 0.000 0.000  0.72
Mg1 0.500 0.500 0.500  -0.01

***

Density functional theory data (PBE-GGA) for crystalline CsMgC2O6 at its relaxed geometry.

Calculated values
The value obtained for the raw formation energy is -1698 meV/atom. The magnetization comes out at 1.0 μB/f.u. The mass density is 3.050 g/cm³. As for the space group: C2/c (15).

Lattice parameters (Å, degrees): 6.539 6.539 7.686 105.35 105.35 94.27
Last column: magnetic moment on the atom in μB.
Sites, in units of the cell vectors:
Cs1 0.113 0.887 0.250  0.00
Cs2 0.887 0.113 0.750  0.00
Mg1 0.657 0.343 0.250  0.00
Mg2 0.343 0.657 0.750  0.00
C1 0.409 0.187 0.815  -0.01
C2 0.813 0.591 0.685  -0.01
C3 0.591 0.813 0.185  -0.01
C4 0.187 0.409 0.315  -0.01
O1 0.985 0.339 0.233  0.14
O2 0.661 0.015 0.267  0.14
O3 0.015 0.661 0.767  0.14
O4 0.339 0.985 0.733  0.14
O5 0.327 0.320 0.244  0.15
O6 0.680 0.673 0.256  0.15
O7 0.673 0.680 0.756  0.15
O8 0.320 0.327 0.744  0.15
O9 0.246 0.572 0.465  0.16
O10 0.428 0.754 0.035  0.16
O11 0.754 0.428 0.535  0.16
O12 0.572 0.246 0.965  0.16

***

Density functional theory data (PBE-GGA) for crystalline CsMg3C4O12 at its relaxed geometry.

Calculated values
The value obtained for the raw formation energy is -1811 meV/atom. The magnetization comes out at 1.1 μB/f.u. The mass density is 3.110 g/cm³. As for the space group: R32 (155).

Lattice parameters (Å, degrees): 6.307 6.307 6.307 99.91 99.91 99.91
Last column: magnetic moment on the atom in μB.
Sites, in units of the cell vectors:
Cs1 0.000 0.000 0.000  0.00
Mg1 0.549 0.451 0.000  0.00
Mg2 0.451 0.000 0.549  0.00
Mg3 0.000 0.549 0.451  0.00
C1 0.955 0.045 0.500  -0.01
C2 0.045 0.500 0.955  -0.01
C3 0.500 0.955 0.045  -0.01
C4 0.500 0.500 0.500  -0.01
O1 0.500 0.366 0.634  0.10
O2 0.908 0.500 0.092  0.04
O3 0.092 0.908 0.500  0.04
O4 0.500 0.092 0.908  0.04
O5 0.438 0.009 0.225  0.09
O6 0.225 0.438 0.009  0.09
O7 0.009 0.225 0.438  0.09
O8 0.562 0.775 0.991  0.09
O9 0.991 0.562 0.775  0.09
O10 0.775 0.991 0.562  0.09
O11 0.634 0.500 0.366  0.10
O12 0.366 0.634 0.500  0.10

***

Density functional theory data (PBE-GGA) for crystalline CsMg6CO8 at its relaxed geometry.

Calculated values
The polymorph energy (0 for the lowest one) comes out at 2.5 kJ/mol of atoms. The value obtained for the raw formation energy is -1405 meV/atom. The magnetization comes out at 0.2 μB/f.u. The mass density is 3.756 g/cm³. As for the space group: P4/mmm (123).

Lattice parameters (Å, degrees): 4.600 4.600 8.751 90.00 90.00 90.00
Last column: magnetic moment on the atom in μB.
Sites, in units of the cell vectors:
Cs1 0.000 0.000 0.000  0.01
Mg1 0.500 0.500 0.000  0.00
Mg2 0.500 0.500 0.500  0.00
Mg3 0.000 0.500 0.271  0.00
Mg4 0.000 0.500 0.729  0.00
Mg5 0.500 0.000 0.271  0.00
Mg6 0.500 0.000 0.729  0.00
C1 0.000 0.000 0.500  0.06
O1 0.000 0.000 0.296  0.06
O2 0.000 0.000 0.704  0.06
O3 0.500 0.500 0.252  0.00
O4 0.500 0.500 0.748  0.00
O5 0.000 0.500 0.000  0.00
O6 0.000 0.500 0.500  -0.01
O7 0.500 0.000 0.000  0.00
O8 0.500 0.000 0.500  -0.01

***

Density functional theory data (PBE-GGA) for crystalline CsMg6CO8 at its relaxed geometry.

Calculated values
The polymorph energy (0 for the lowest one) comes out at 0.0 kJ/mol of atoms. The value obtained for the raw formation energy is -1431 meV/atom. The magnetization comes out at 1.4 μB/f.u. The mass density is 3.484 g/cm³. As for the space group: P4/mmm (123).

Lattice parameters (Å, degrees): 4.331 4.331 10.641 90.00 90.00 90.00
Last column: magnetic moment on the atom in μB.
Sites, in units of the cell vectors:
Cs1 0.000 0.000 0.000  0.16
Mg1 0.000 0.000 0.500  0.00
Mg2 0.500 0.500 0.500  0.00
Mg3 0.000 0.500 0.304  0.00
Mg4 0.000 0.500 0.696  0.00
Mg5 0.500 0.000 0.304  0.00
Mg6 0.500 0.000 0.696  0.00
C1 0.500 0.500 0.000  0.45
O1 0.000 0.000 0.298  0.00
O2 0.000 0.000 0.702  0.00
O3 0.500 0.500 0.302  0.02
O4 0.500 0.500 0.698  0.02
O5 0.000 0.500 0.000  0.17
O6 0.000 0.500 0.500  0.00
O7 0.500 0.000 0.000  0.17
O8 0.500 0.000 0.500  0.00

***

Density functional theory data (PBE-GGA) for crystalline Cs2MgOsC at its relaxed geometry.

Calculated values
The magnetization comes out at 2.7 μB/f.u. The value obtained for the uncorrected energy is -2.759 eV per atom. The mass density is 4.608 g/cm³. As for the space group: P4/mmm (123).

Lattice parameters (Å, degrees): 5.872 5.146 5.872 90.00 90.00 90.00
Last column: magnetic moment on the atom in μB.
Sites, in units of the cell vectors:
Cs1 0.000 0.000 0.500  0.02
Cs2 0.500 0.000 0.000  0.01
Mg1 0.000 0.500 0.000  -0.01
Os1 0.000 0.000 0.000  -0.04
C1 0.500 0.500 0.500  1.13

***

Density functional theory data (PBE-GGA) for crystalline Cs2MgPtC at its relaxed geometry.

Calculated values
The magnetization comes out at 0.0 μB/f.u. The value obtained for the uncorrected energy is -3.350 eV per atom. The mass density is 4.613 g/cm³. As for the space group: P4/mmm (123).

Lattice parameters (Å, degrees): 6.801 3.870 6.801 90.00 90.00 90.00
Sites, in units of the cell vectors:
Cs1 0.000 0.000 0.500
Cs2 0.500 0.000 0.000
Mg1 0.500 0.500 0.500
C1 0.000 0.000 0.000
Pt1 0.000 0.500 0.000

***

Density functional theory data (PBE-GGA) for crystalline CsMgTcC2 at its relaxed geometry.

Calculated values
The magnetization comes out at 2.6 μB/f.u. The value obtained for the uncorrected energy is -3.568 eV per atom. The mass density is 4.500 g/cm³. As for the space group: P4/mmm (123).

Lattice parameters (Å, degrees): 4.455 5.192 4.455 90.00 90.00 90.00
Last column: magnetic moment on the atom in μB.
Sites, in units of the cell vectors:
Cs1 0.500 0.500 0.500  0.05
C1 0.000 0.000 0.500  -0.18
C2 0.500 0.000 0.000  -0.18
Mg1 0.000 0.000 0.000  0.00
Tc1 0.000 0.500 0.000  2.77

***

Density functional theory data (PBE-GGA) for crystalline CsMgW2C at its relaxed geometry.

Calculated values
The magnetization comes out at 0.0 μB/f.u. The value obtained for the uncorrected energy is -6.132 eV per atom. The mass density is 8.662 g/cm³. As for the space group: P4/mmm (123).

Lattice parameters (Å, degrees): 4.210 5.808 4.210 90.00 90.00 90.00
Sites, in units of the cell vectors:
Cs1 0.000 0.500 0.000
Mg1 0.500 0.500 0.500
C1 0.000 0.000 0.000
W1 0.000 0.000 0.500
W2 0.500 0.000 0.000

***

Density functional theory data (PBE-GGA) for crystalline CsMn3C at its relaxed geometry.

Calculated values
The magnetization comes out at 8.0 μB/f.u. The value obtained for the uncorrected energy is -6.350 eV per atom. The mass density is 6.859 g/cm³. As for the space group: Pm-3m (221).

Lattice parameters (Å, degrees): 4.217 4.217 4.217 90.00 90.00 90.00
Last column: magnetic moment on the atom in μB.
Sites, in units of the cell vectors:
Cs1 0.500 0.500 0.500  0.06
C1 0.000 0.000 0.000  -0.21
Mn1 0.000 0.500 0.000  2.89
Mn2 0.000 0.000 0.500  2.70
Mn3 0.500 0.000 0.000  2.46